1.
## LaTb2Mg3 (PBE-GGA)

Data for an optimized crystal structure of LaTb2Mg3.

abc: 3.8454 3.8454 11.6128
angles: 90.00 90.00 90.00
Positions (direct):
Mg: 0.0000 0.0000 0.0000
Mg: 0.0000 0.0000 0.6800
Mg: 0.0000 0.0000 0.3200
Tb: 0.5000 0.5000 0.1604
Tb: 0.5000 0.5000 0.8396
La: 0.5000 0.5000 0.5000

## Properties
The crystal system is tetragonal. For the magnetic moment, the calculation gives 0.000 μB per atom. For the calculated formation energy, the calculation gives -0.09 eV per atom.

2.
## LaTb7Mg2 (PBE-GGA)

Data for an optimized crystal structure of LaTb7Mg2.

abc: 5.4710 9.1430 9.1430
angles: 122.87 90.00 90.00
Positions (direct):
Mg: 0.5000 0.7032 0.2968
Mg: 0.5000 0.2968 0.7032
Tb: 0.5000 0.5000 0.5000
Tb: 0.5000 0.0660 0.2979
Tb: 0.5000 0.9340 0.7021
Tb: 0.0000 0.7798 0.2202
Tb: 0.0000 0.2202 0.7798
Tb: 0.5000 0.2979 0.0660
Tb: 0.5000 0.7021 0.9340
La: 0.0000 0.0000 0.0000

## Properties
The crystal system is orthorhombic. For the magnetic moment, the calculation gives 0.000 μB per atom. For the calculated formation energy, the calculation gives 0.58 eV per atom.

3.
## La2Tb12Mg (PBE-GGA)

Data for an optimized crystal structure of La2Tb12Mg.

abc: 6.5663 6.5663 23.9372
angles: 90.00 90.00 90.00
Positions (direct):
La: 0.5000 0.0000 0.7517
La: 0.0000 0.5000 0.2483
La: 0.5000 0.0000 0.2483
La: 0.0000 0.5000 0.7517
Tb: 0.5000 0.5000 0.7966
Tb: 0.0000 0.0000 0.7966
Tb: 0.5000 0.5000 0.3324
Tb: 0.0000 0.0000 0.3324
Tb: 0.3323 0.1677 0.5631
Tb: 0.0000 0.0000 0.6676
Tb: 0.7446 0.7554 0.1001
Tb: 0.5000 0.5000 0.6676
Tb: 0.7554 0.7446 0.8999
Tb: 0.1677 0.6677 0.5631
Tb: 0.6677 0.8323 0.5631
Tb: 0.2554 0.2446 0.1001
Tb: 0.2446 0.7446 0.1001
Tb: 0.1677 0.3323 0.4369
Tb: 0.6677 0.1677 0.4369
Tb: 0.7554 0.2554 0.1001
Tb: 0.2446 0.2554 0.8999
Tb: 0.2554 0.7554 0.8999
Tb: 0.5000 0.5000 0.2034
Tb: 0.7446 0.2446 0.8999
Tb: 0.0000 0.0000 0.2034
Tb: 0.8323 0.3323 0.5631
Tb: 0.3323 0.8323 0.4369
Tb: 0.8323 0.6677 0.4369
Mg: 0.5000 0.0000 0.0000
Mg: 0.0000 0.5000 0.0000

## Properties
The crystal system is tetragonal. For the magnetic moment, the calculation gives 0.000 μB per atom. For the calculated formation energy, the calculation gives 0.31 eV per atom.

Which of these has the lowest calculated formation energy?
LaTb2Mg3